VASP calculation (PBE) on MgNbSbTe2 after structural relaxation.

uncorrected formation energy	0.94	eV/f.u.
energy above the most stable polymorph in this dataset	0.000	eV per atom

Cell: 5.4131 5.4131 5.4829 Å, 90.00 90.00 90.00°
Last column: nearest neighbours and their distance in Å.
Space group P4/mmm (No. 123)
Unique sites:
Mg 0.0000 0.0000 0.0000 x1  4 Sb 3.83, 8 Te 3.85
Nb 0.5000 0.5000 0.5000 x1  4 Te 2.71, 2 Sb 2.74
Sb 0.5000 0.5000 0.0000 x1  2 Nb 2.74
Te 0.0000 0.5000 0.5000 x2  2 Nb 2.71


VASP calculation (PBE) on Ce4DyMg after structural relaxation.

energy of formation from the pure elements	0.238	eV per atom

Cell: 8.8528 8.8528 8.8528 Å, 90.00 90.00 90.00°
Last column: nearest neighbours and their distance in Å.
Space group F-43m (No. 216)
Unique sites:
Ce 0.1155 0.1155 0.1155 x16  3 Ce 2.89
Dy 0.0000 0.0000 0.5000 x4  12 Ce 3.70, 4 Mg 3.83
Mg 0.2500 0.2500 0.7500 x4  12 Ce 3.65, 4 Dy 3.83


VASP calculation (PBE) on Te3OsCl after structural relaxation.

uncorrected formation energy	9.31	eV/f.u.
energy above the most stable polymorph in this dataset	1.292	eV per atom

Cell: 5.1419 5.1419 5.1419 Å, 90.00 90.00 90.00°
Last column: nearest neighbours and their distance in Å.
Space group Pm-3m (No. 221)
Unique sites:
Te 0.0000 0.0000 0.5000 x3  2 Cl 2.57
Os 0.5000 0.5000 0.5000 x1  12 Te 3.64
Cl 0.0000 0.0000 0.0000 x1  6 Te 2.57


VASP calculation (PBE) on PuGaTc after structural relaxation.

energy above the most stable polymorph in this dataset	0.000	eV per atom
energy of formation from the pure elements	-0.251	eV per atom

Cell: 5.3297 5.8335 7.1684 Å, 90.00 90.00 90.00°
Last column: nearest neighbours and their distance in Å.
Space group Imma (No. 74)
Unique sites:
Pu 0.0000 0.2500 0.1100 x4  2 Tc 2.90, 6 Ga 3.14-3.15
Ga 0.0000 0.0000 0.5000 x4  4 Tc 2.67, 2 Ga 2.92
Tc 0.2500 0.2500 0.7500 x4  2 Tc 2.66, 4 Ga 2.67, 2 Pu 2.90


no.,Fermi-level density of states (states/eV per cell),magnetic moment (μB/atom)
1,3.06,0.0000
2,64.08,0.4465
3,4.86,0.0005
4,32.40,1.6896